Entry 1:
! PBE-GGA Tl8TeS4, relaxed; values from VASP
&SYSTEM
  ibrav = 0, nat = 13, ntyp = 3
/
ATOMIC_SPECIES
Tl 204.38 Tl.upf
Te 127.60 Te.upf
S 32.06 S.upf
CELL_PARAMETERS angstrom
0.000 6.285 6.285
6.285 0.000 6.285
6.285 6.285 0.000
ATOMIC_POSITIONS crystal
Tl 0.394 0.394 0.394
Tl 0.394 0.394 0.818
Tl 0.394 0.818 0.394
Tl 0.400 0.867 0.867
Tl 0.818 0.394 0.394
Tl 0.867 0.400 0.867
Tl 0.867 0.867 0.400
Tl 0.867 0.867 0.867
Te 0.250 0.250 0.250
S 0.109 0.630 0.630
S 0.630 0.109 0.630
S 0.630 0.630 0.109
S 0.630 0.630 0.630
! Space group: F-43m
! E in eV per cell: -41.20
! Theoretical density in g/cm3: 6.325
! DOS(E_F) in states/eV/cell: 17.39
! Size of the total moment in μB/atom: 0.000

=====

Entry 2:
! PBE-GGA ScMnPd6, relaxed; values from VASP
&SYSTEM
  ibrav = 0, nat = 8, ntyp = 3
/
ATOMIC_SPECIES
Sc 44.96 Sc.upf
Mn 54.94 Mn.upf
Pd 106.42 Pd.upf
CELL_PARAMETERS angstrom
3.964 0.000 0.000
0.000 3.964 0.000
0.000 0.000 7.945
ATOMIC_POSITIONS crystal
Sc 0.000 0.000 0.000
Mn 0.000 0.000 0.500
Pd 0.000 0.500 0.255
Pd 0.000 0.500 0.745
Pd 0.500 0.000 0.255
Pd 0.500 0.000 0.745
Pd 0.500 0.500 0.000
Pd 0.500 0.500 0.500
! Space group: P4/mmm
! Offset from the most stable computed form in meV per atom: 0.0
! Theoretical density in g/cm3: 9.821
! DOS(E_F) in states/eV/cell: 9.99
! Size of the total moment in μB/atom: 0.514
! ΔH_f (0 K) in kcal/mol of atoms: -11.99

=====

Entry 3:
! PBE-GGA TlGe2Au8, relaxed; values from VASP
&SYSTEM
  ibrav = 0, nat = 11, ntyp = 3
/
ATOMIC_SPECIES
Tl 204.38 Tl.upf
Ge 72.64 Ge.upf
Au 196.97 Au.upf
CELL_PARAMETERS angstrom
4.778 -5.329 0.000
4.778 5.329 0.000
-0.815 0.000 5.340
ATOMIC_POSITIONS crystal
Tl 0.000 0.000 0.000
Ge 0.297 0.703 0.500
Ge 0.703 0.297 0.500
Au 0.018 0.417 0.745
Au 0.301 0.699 0.000
Au 0.388 0.388 0.657
Au 0.417 0.018 0.745
Au 0.583 0.982 0.255
Au 0.612 0.612 0.343
Au 0.699 0.301 0.000
Au 0.982 0.583 0.255
! Space group: C2/m
! Theoretical density in g/cm3: 11.757
! DOS(E_F) in states/eV/cell: 2.57
! Size of the total moment in μB/atom: 0.000
! ΔH_f (0 K) in kcal/mol of atoms: 1.47

=====

Entry 4:
! PBE-GGA Pa2ReHg, relaxed; values from VASP
&SYSTEM
  ibrav = 0, nat = 4, ntyp = 3
/
ATOMIC_SPECIES
Pa 231.04 Pa.upf
Re 186.21 Re.upf
Hg 200.59 Hg.upf
CELL_PARAMETERS angstrom
5.129 0.000 0.000
0.000 5.129 0.000
0.000 0.000 3.446
ATOMIC_POSITIONS crystal
Pa 0.000 0.500 0.000
Pa 0.500 0.000 0.000
Re 0.000 0.000 0.500
Hg 0.500 0.500 0.500
! Space group: P4/mmm
! Offset from the most stable computed form in meV per atom: 288.8
! Theoretical density in g/cm3: 15.549
! DOS(E_F) in states/eV/cell: 5.71
! Size of the total moment in μB/atom: 0.000
! ΔH_f (0 K) in kcal/mol of atoms: 4.85

=====

Entry 5:
! PBE-GGA Nd5Fe2Br2, relaxed; values from VASP
&SYSTEM
  ibrav = 0, nat = 18, ntyp = 3
/
ATOMIC_SPECIES
Nd 144.24 Nd.upf
Fe 55.84 Fe.upf
Br 79.90 Br.upf
CELL_PARAMETERS angstrom
8.033 -4.056 0.000
8.033 4.056 0.000
0.000 0.000 7.629
ATOMIC_POSITIONS crystal
Nd 0.000 0.000 0.000
Nd 0.053 0.715 0.655
Nd 0.215 0.553 0.155
Nd 0.285 0.947 0.655
Nd 0.447 0.785 0.155
Nd 0.500 0.500 0.500
Nd 0.553 0.215 0.845
Nd 0.715 0.053 0.345
Nd 0.785 0.447 0.845
Nd 0.947 0.285 0.345
Fe 0.108 0.892 0.384
Fe 0.392 0.608 0.884
Fe 0.608 0.392 0.116
Fe 0.892 0.108 0.616
Br 0.207 0.207 0.000
Br 0.293 0.293 0.500
Br 0.707 0.707 0.500
Br 0.793 0.793 0.000
! Space group: Cmce
! E in eV per cell: -95.76
! Theoretical density in g/cm3: 6.632
! DOS(E_F) in states/eV/cell: 17.87
! Size of the total moment in μB/atom: 0.184

=====

Entry 6:
! PBE-GGA ErCo2, relaxed; values from VASP
&SYSTEM
  ibrav = 0, nat = 3, ntyp = 2
/
ATOMIC_SPECIES
Er 167.26 Er.upf
Co 58.93 Co.upf
CELL_PARAMETERS angstrom
-1.583 1.583 4.823
1.583 -1.583 4.823
1.583 1.583 -4.823
ATOMIC_POSITIONS crystal
Er 0.000 0.000 0.000
Co 0.299 0.299 0.000
Co 0.701 0.701 0.000
! Space group: I4/mmm
! Theoretical density in g/cm3: 9.796
! DOS(E_F) in states/eV/cell: 4.35
! Size of the total moment in μB/atom: 0.924
! ΔH_f (0 K) in kcal/mol of atoms: 1.16

=====

Entry 7:
! PBE-GGA NdDyRhI, relaxed; values from VASP
&SYSTEM
  ibrav = 0, nat = 4, ntyp = 4
/
ATOMIC_SPECIES
Nd 144.24 Nd.upf
Dy 162.50 Dy.upf
Rh 102.91 Rh.upf
I 126.90 I.upf
CELL_PARAMETERS angstrom
2.057 1.188 8.071
-2.057 1.188 8.071
0.000 -2.375 8.071
ATOMIC_POSITIONS crystal
Nd 0.000 0.000 0.000
Dy 0.789 0.789 0.789
Rh 0.397 0.397 0.397
I 0.225 0.225 0.225
! Space group: R3m
! E in eV per cell: -22.02
! Theoretical density in g/cm3: 7.531
! DOS(E_F) in states/eV/cell: 0.17
! Size of the total moment in μB/atom: 0.000

=====

Entry 8:
! PBE-GGA ZrGaP2S, relaxed; values from VASP
&SYSTEM
  ibrav = 0, nat = 5, ntyp = 4
/
ATOMIC_SPECIES
Zr 91.22 Zr.upf
Ga 69.72 Ga.upf
P 30.97 P.upf
S 32.06 S.upf
CELL_PARAMETERS angstrom
4.573 0.000 0.000
0.000 4.573 0.000
0.000 0.000 4.732
ATOMIC_POSITIONS crystal
Zr 0.000 0.000 0.000
Ga 0.500 0.500 0.500
P 0.000 0.500 0.500
P 0.500 0.000 0.500
S 0.500 0.500 0.000
! Space group: P4/mmm
! Offset from the most stable computed form in meV per atom: 304.6
! Theoretical density in g/cm3: 4.278
! DOS(E_F) in states/eV/cell: 3.91
! Size of the total moment in μB/atom: 0.000

=====

Entry 9:
! PBE-GGA CoReSbI2, relaxed; values from VASP
&SYSTEM
  ibrav = 0, nat = 5, ntyp = 4
/
ATOMIC_SPECIES
Co 58.93 Co.upf
Re 186.21 Re.upf
Sb 121.76 Sb.upf
I 126.90 I.upf
CELL_PARAMETERS angstrom
4.967 0.000 0.000
0.000 4.967 0.000
0.000 0.000 4.833
ATOMIC_POSITIONS crystal
Co 0.000 0.000 0.000
Re 0.500 0.500 0.500
Sb 0.000 0.000 0.500
I 0.000 0.500 0.000
I 0.500 0.000 0.000
! Space group: P4/mmm
! Offset from the most stable computed form in meV per atom: 183.2
! Theoretical density in g/cm3: 8.647
! DOS(E_F) in states/eV/cell: 7.30
! Size of the total moment in μB/atom: 0.000

=====

Entry 10:
! PBE-GGA ZrCu2Ni, relaxed; values from VASP
&SYSTEM
  ibrav = 0, nat = 8, ntyp = 3
/
ATOMIC_SPECIES
Zr 91.22 Zr.upf
Cu 63.55 Cu.upf
Ni 58.69 Ni.upf
CELL_PARAMETERS angstrom
-1.815 1.815 9.291
1.815 -1.815 9.291
1.815 1.815 -9.291
ATOMIC_POSITIONS crystal
Zr 0.000 0.000 0.000
Zr 0.750 0.250 0.500
Cu 0.156 0.625 0.031
Cu 0.375 0.406 0.531
Cu 0.594 0.125 0.969
Cu 0.875 0.844 0.469
Ni 0.250 0.750 0.500
Ni 0.500 0.500 0.000
! Space group: I-42d
! Theoretical density in g/cm3: 7.514
! DOS(E_F) in states/eV/cell: 3.57
! Size of the total moment in μB/atom: 0.000
! ΔH_f (0 K) in kcal/mol of atoms: 2.97

=====

Entry 11:
! PBE-GGA La2PmErSc, relaxed; values from VASP
&SYSTEM
  ibrav = 0, nat = 10, ntyp = 4
/
ATOMIC_SPECIES
La 138.91 La.upf
Pm 145.00 Pm.upf
Er 167.26 Er.upf
Sc 44.96 Sc.upf
CELL_PARAMETERS angstrom
4.131 -5.764 0.000
4.131 5.764 0.000
0.000 0.000 7.298
ATOMIC_POSITIONS crystal
La 0.199 0.199 0.000
La 0.199 0.199 0.500
La 0.801 0.801 0.000
La 0.801 0.801 0.500
Pm 0.231 0.769 0.750
Pm 0.769 0.231 0.250
Er 0.245 0.755 0.250
Er 0.755 0.245 0.750
Sc 0.490 0.510 0.750
Sc 0.510 0.490 0.250
! Space group: Cmcm
! Theoretical density in g/cm3: 6.069
! DOS(E_F) in states/eV/cell: 14.52
! Size of the total moment in μB/atom: 0.000
! ΔH_f (0 K) in kcal/mol of atoms: 8.29

=====

Entry 12:
! PBE-GGA KGaTc2Os, relaxed; values from VASP
&SYSTEM
  ibrav = 0, nat = 5, ntyp = 4
/
ATOMIC_SPECIES
K 39.10 K.upf
Ga 69.72 Ga.upf
Tc 98.00 Tc.upf
Os 190.23 Os.upf
CELL_PARAMETERS angstrom
4.847 0.000 0.000
0.000 4.847 0.000
0.000 0.000 4.956
ATOMIC_POSITIONS crystal
K 0.000 0.000 0.000
Ga 0.500 0.500 0.000
Tc 0.000 0.500 0.500
Tc 0.500 0.000 0.500
Os 0.500 0.500 0.500
! Space group: P4/mmm
! Theoretical density in g/cm3: 7.060
! DOS(E_F) in states/eV/cell: 6.16
! Size of the total moment in μB/atom: 0.551
! ΔH_f (0 K) in kcal/mol of atoms: 27.32